1.
{"formula": "BrCl3F", "functional": "GGA-PBE", "state": "optimized geometry", "space_group": "Pc (7)", "raw_formation_energy_ev_per_atom": -0.1547, "e_tot_ev_per_atom": -1.971, "relative_energy_kj_per_mol_fu": 0, "lattice_angstrom": [[5.032, 0.000, 0.000], [0.000, 6.781, 0.000], [-0.037, 0.000, 9.462]], "species": ["Br", "Br", "Cl", "Cl", "Cl", "Cl", "Cl", "Cl", "F", "F"], "frac_coords": [[0.000, 0.212, 0.000], [0.000, 0.788, 0.500], [0.112, 0.383, 0.197], [0.112, 0.617, 0.697], [0.480, 0.236, 0.424], [0.480, 0.764, 0.924], [0.670, 0.165, 0.603], [0.670, 0.835, 0.103], [0.916, 0.076, 0.821], [0.916, 0.924, 0.321]]}

---

2.
{"formula": "Al2TlTe", "functional": "GGA-PBE", "state": "optimized geometry", "space_group": "P4mm (99)", "raw_formation_energy_ev_per_atom": 0.1894, "e_tot_ev_per_atom": -3.059, "relative_energy_kj_per_mol_fu": 53, "lattice_angstrom": [[3.301, 0.000, 0.000], [0.000, 3.301, 0.000], [0.000, 0.000, 9.098]], "species": ["Al", "Al", "Tl", "Te"], "frac_coords": [[0.000, 0.000, 0.000], [0.500, 0.500, 0.178], [0.500, 0.500, 0.735], [0.000, 0.000, 0.398]]}